Below is a geometry-optimized CePr5Ir5 structure, with properties calculated at the PBE level.

POSCAR file:
```
CePr5Ir5
1.0
-2.102 5.244 1.469
-3.309 -3.003 -5.613
-3.373 -3.271 6.850
Pr Ir Ce
5 5 1
Direct
0.322 0.644 0.674 Pr
0.678 0.356 0.326 Pr
0.000 0.000 0.500 Pr
0.672 0.344 0.844 Pr
0.328 0.656 0.156 Pr
0.159 0.318 0.325 Ir
0.500 0.000 0.000 Ir
0.849 0.698 0.167 Ir
0.151 0.302 0.833 Ir
0.841 0.682 0.675 Ir
0.000 0.000 0.000 Ce
```

Crystal system   monoclinic
Space group   C2/m (12)
Magnetization   0.00 μB per formula unit
Calculated density   10.0 g/cm³
E   -79.56 eV/cell